Here is an optimized crystal structure of TlTeF3 from Alexandria. Energies are from PBE-GGA.

```
data_TlTeF3
_cell_length_a 4.649
_cell_length_b 4.649
_cell_length_c 4.649
_cell_angle_alpha 90.00
_cell_angle_beta 90.00
_cell_angle_gamma 90.00
_space_group_name_H-M_alt 'P m -3 m'
_space_group_IT_number 221
_space_group_name_Hall '-P 4 2 3'
loop_
_atom_site_label
_atom_site_fract_x
_atom_site_fract_y
_atom_site_fract_z
Tl1 0.000 0.000 0.000
Te1 0.500 0.500 0.500
F1 0.000 0.000 0.500
```

## Properties
The value obtained for the energy above the most stable polymorph in this dataset is 660 meV per atom.



Here is an optimized crystal structure of TlTeF6 from Alexandria. Energies are from PBE-GGA.

```
data_TlTeF6
_cell_length_a 5.7628
_cell_length_b 5.7628
_cell_length_c 16.1176
_cell_angle_alpha 90.00
_cell_angle_beta 90.00
_cell_angle_gamma 120.00
_space_group_name_H-M_alt 'R -3 m'
_space_group_IT_number 166
_space_group_name_Hall '-R 3 2"'
loop_
_atom_site_label
_atom_site_fract_x
_atom_site_fract_y
_atom_site_fract_z
Tl1 0.0000 0.0000 0.0000
Te1 0.0000 0.0000 0.5000
F1 0.0118 0.5059 0.0947
```

## Properties
The value obtained for the energy above the most stable polymorph in this dataset is 29 meV per atom.